(1)
Entry from the Alexandria database: a relaxed Sr2Ga3Sn4Au crystal (PBE).

Structure (CIF):
```
data_Sr2Ga3Sn4Au
_symmetry_space_group_name_H-M 'P -4 m 2'
_symmetry_Int_Tables_number 115
_symmetry_space_group_name_Hall 'P -4 -2'
_cell_length_a 4.997
_cell_length_b 4.997
_cell_length_c 10.699
_cell_angle_alpha 90.00
_cell_angle_beta 90.00
_cell_angle_gamma 90.00
loop_
_atom_site_label
_atom_site_type_symbol
_atom_site_fract_x
_atom_site_fract_y
_atom_site_fract_z
Sr1 Sr 0.000 0.500 0.232
Ga1 Ga 0.000 0.000 0.000
Ga2 Ga 0.000 0.500 0.625
Sn1 Sn 0.000 0.000 0.500
Sn2 Sn 0.000 0.500 0.875
Sn3 Sn 0.500 0.500 0.500
Au1 Au 0.500 0.500 0.000
```

Summary:
- DOS at the Fermi energy: 3.29 states/eV per cell
- ΔE_f: -0.3679 eV per atom
- Crystal system: tetragonal

(2)
Entry from the Alexandria database: a relaxed As3IrO crystal (PBE).

Structure (CIF):
```
data_As3IrO
_symmetry_space_group_name_H-M 'P m -3 m'
_symmetry_Int_Tables_number 221
_symmetry_space_group_name_Hall '-P 4 2 3'
_cell_length_a 4.284
_cell_length_b 4.284
_cell_length_c 4.284
_cell_angle_alpha 90.00
_cell_angle_beta 90.00
_cell_angle_gamma 90.00
loop_
_atom_site_label
_atom_site_type_symbol
_atom_site_fract_x
_atom_site_fract_y
_atom_site_fract_z
As1 As 0.000 0.000 0.500
Ir1 Ir 0.500 0.500 0.500
O1 O 0.000 0.000 0.000
```

Summary:
- DOS at the Fermi energy: 1.20 states/eV per cell
- Crystal system: cubic
- E_tot: -5.1928 eV per atom

(3)
Entry from the Alexandria database: a relaxed TmTlSe4 crystal (PBE).

Structure (CIF):
```
data_TmTlSe4
_symmetry_space_group_name_H-M 'P 4/n b m'
_symmetry_Int_Tables_number 125
_cell_length_a 6.219
_cell_length_b 6.219
_cell_length_c 8.374
_cell_angle_alpha 90.00
_cell_angle_beta 90.00
_cell_angle_gamma 90.00
loop_
_symmetry_equiv_pos_as_xyz
'x,y,z'
'-x,-y,-z'
'-y+1/2,x,z'
'y+1/2,-x,-z'
'-x+1/2,-y+1/2,z'
'x+1/2,y+1/2,-z'
'y,-x+1/2,z'
'-y,x+1/2,-z'
'x,-y+1/2,-z'
'-x,y+1/2,z'
'-y+1/2,-x+1/2,-z'
'y+1/2,x+1/2,z'
'-x+1/2,y,-z'
'x+1/2,-y,z'
'y,x,-z'
'-y,-x,z'
loop_
_atom_site_label
_atom_site_type_symbol
_atom_site_fract_x
_atom_site_fract_y
_atom_site_fract_z
Tm1 Tm 0.250 0.250 0.000
Tl1 Tl 0.250 0.250 0.500
Se1 Se 0.112 0.612 0.204
```

Summary:
- DOS at the Fermi energy: 0.08 states/eV per cell
- Crystal system: tetragonal
- E_tot: -4.3509 eV per atom

(4)
Entry from the Alexandria database: a relaxed ZrCu2Mo crystal (PBE).

Structure (CIF):
```
data_ZrCu2Mo
_symmetry_space_group_name_H-M 'F m -3 m'
_symmetry_Int_Tables_number 225
_symmetry_space_group_name_Hall '-F 4 2 3'
_cell_length_a 6.304
_cell_length_b 6.304
_cell_length_c 6.304
_cell_angle_alpha 90.00
_cell_angle_beta 90.00
_cell_angle_gamma 90.00
loop_
_atom_site_label
_atom_site_type_symbol
_atom_site_fract_x
_atom_site_fract_y
_atom_site_fract_z
Zr1 Zr 0.000 0.000 0.000
Cu1 Cu 0.250 0.250 0.250
Mo1 Mo 0.000 0.000 0.500
```

Summary:
- DOS at the Fermi energy: 10.56 states/eV per cell
- ΔE_f: 0.1802 eV per atom
- Crystal system: cubic
- ΔE to the lowest computed polymorph: 0.37 eV/f.u.

(5)
Entry from the Alexandria database: a relaxed SrTbPuO6 crystal (PBE).

Structure (CIF):
```
data_SrTbPuO6
_symmetry_space_group_name_H-M 'P -3 1 c'
_symmetry_Int_Tables_number 163
_symmetry_space_group_name_Hall '-P 3 2c'
_cell_length_a 5.8273
_cell_length_b 5.8273
_cell_length_c 10.1817
_cell_angle_alpha 90.00
_cell_angle_beta 90.00
_cell_angle_gamma 120.00
loop_
_atom_site_label
_atom_site_type_symbol
_atom_site_fract_x
_atom_site_fract_y
_atom_site_fract_z
Sr1 Sr 0.0000 0.0000 0.0000
Tb1 Tb 0.3333 0.6667 0.2500
Pu1 Pu 0.3333 0.6667 0.7500
O1 O 0.0342 0.3834 0.6428
```

Summary:
- Crystal system: trigonal
- E_tot: -8.4671 eV per atom

(6)
Entry from the Alexandria database: a relaxed PuPa2Ge crystal (PBE).

Structure (CIF):
```
data_PuPa2Ge
_symmetry_space_group_name_H-M 'F m -3 m'
_symmetry_Int_Tables_number 225
_symmetry_space_group_name_Hall '-F 4 2 3'
_cell_length_a 7.110
_cell_length_b 7.110
_cell_length_c 7.110
_cell_angle_alpha 90.00
_cell_angle_beta 90.00
_cell_angle_gamma 90.00
loop_
_atom_site_label
_atom_site_type_symbol
_atom_site_fract_x
_atom_site_fract_y
_atom_site_fract_z
Pu1 Pu 0.000 0.000 0.000
Pa1 Pa 0.250 0.250 0.250
Ge1 Ge 0.000 0.000 0.500
```

Summary:
- DOS at the Fermi energy: 26.67 states/eV per cell
- ΔE_f: -0.1270 eV per atom
- Crystal system: cubic
- ΔE to the lowest computed polymorph: 0.65 eV/f.u.

(7)
Entry from the Alexandria database: a relaxed RbScCdI6 crystal (PBE).

Structure (CIF):
```
data_RbScCdI6
_symmetry_space_group_name_H-M 'P -3 1 c'
_symmetry_Int_Tables_number 163
_symmetry_space_group_name_Hall '-P 3 2c'
_cell_length_a 7.7049
_cell_length_b 7.7049
_cell_length_c 16.3451
_cell_angle_alpha 90.00
_cell_angle_beta 90.00
_cell_angle_gamma 120.00
loop_
_atom_site_label
_atom_site_type_symbol
_atom_site_fract_x
_atom_site_fract_y
_atom_site_fract_z
Rb1 Rb 0.0000 0.0000 0.0000
Sc1 Sc 0.3333 0.6667 0.2500
Cd1 Cd 0.3333 0.6667 0.7500
I1 I 0.0118 0.3789 0.1456
```

Summary:
- DOS at the Fermi energy: 0.00 states/eV per cell
- Crystal system: trigonal
- E_tot: -3.0082 eV per atom

(8)
Entry from the Alexandria database: a relaxed MnZnCrSn crystal (PBE).

Structure (CIF):
```
data_MnZnCrSn
_symmetry_space_group_name_H-M 'F -4 3 m'
_symmetry_Int_Tables_number 216
_symmetry_space_group_name_Hall 'F -4 2 3'
_cell_length_a 6.235
_cell_length_b 6.235
_cell_length_c 6.235
_cell_angle_alpha 90.00
_cell_angle_beta 90.00
_cell_angle_gamma 90.00
loop_
_atom_site_label
_atom_site_type_symbol
_atom_site_fract_x
_atom_site_fract_y
_atom_site_fract_z
Mn1 Mn 0.000 0.000 0.000
Zn1 Zn 0.250 0.250 0.750
Cr1 Cr 0.000 0.000 0.500
Sn1 Sn 0.250 0.250 0.250
```

Summary:
- DOS at the Fermi energy: 12.53 states/eV per cell
- ΔE_f: 0.2511 eV per atom
- Crystal system: cubic

(9)
Entry from the Alexandria database: a relaxed K2EuTl crystal (PBE).

Structure (CIF):
```
data_K2EuTl
_symmetry_space_group_name_H-M 'R -3 m'
_symmetry_Int_Tables_number 166
_symmetry_space_group_name_Hall '-R 3 2"'
_cell_length_a 3.9523
_cell_length_b 3.9523
_cell_length_c 43.5046
_cell_angle_alpha 90.00
_cell_angle_beta 90.00
_cell_angle_gamma 120.00
loop_
_atom_site_label
_atom_site_type_symbol
_atom_site_fract_x
_atom_site_fract_y
_atom_site_fract_z
K1 K 0.0000 0.0000 0.0817
Eu1 Eu 0.0000 0.0000 0.5000
Tl1 Tl 0.0000 0.0000 0.0000
```

Summary:
- DOS at the Fermi energy: 35.10 states/eV per cell
- ΔE_f: 0.1984 eV per atom
- Crystal system: trigonal

(10)
Entry from the Alexandria database: a relaxed V4SiPt crystal (PBE).

Structure (CIF):
```
data_V4SiPt
_symmetry_space_group_name_H-M 'P -1'
_symmetry_Int_Tables_number 2
_symmetry_space_group_name_Hall '-P 1'
_cell_length_a 4.237
_cell_length_b 4.284
_cell_length_c 5.034
_cell_angle_alpha 88.68
_cell_angle_beta 89.53
_cell_angle_gamma 60.90
loop_
_atom_site_label
_atom_site_type_symbol
_atom_site_fract_x
_atom_site_fract_y
_atom_site_fract_z
V1 V 0.167 0.164 0.339
V2 V 0.167 0.168 0.816
Si1 Si 0.500 0.500 0.500
Pt1 Pt 0.500 0.500 0.000
```

Summary:
- DOS at the Fermi energy: 7.10 states/eV per cell
- Crystal system: triclinic
- E_tot: -8.3658 eV per atom

(11)
Entry from the Alexandria database: a relaxed Nd3MgSb2 crystal (PBE).

Structure (CIF):
```
data_Nd3MgSb2
_symmetry_space_group_name_H-M 'C 1 2/c 1'
_symmetry_Int_Tables_number 15
_symmetry_space_group_name_Hall '-C 2yc'
_cell_length_a 14.512
_cell_length_b 6.373
_cell_length_c 9.064
_cell_angle_alpha 90.00
_cell_angle_beta 108.20
_cell_angle_gamma 90.00
loop_
_atom_site_label
_atom_site_type_symbol
_atom_site_fract_x
_atom_site_fract_y
_atom_site_fract_z
Nd1 Nd 0.000 0.001 0.250
Nd2 Nd 0.185 0.500 0.093
Mg1 Mg 0.000 0.498 0.750
Sb1 Sb 0.160 0.000 0.080
```

Summary:
- DOS at the Fermi energy: 21.61 states/eV per cell
- Crystal system: monoclinic
- E_tot: -4.6952 eV per atom

(12)
Entry from the Alexandria database: a relaxed La3Pd3Au2 crystal (PBE).

Structure (CIF):
```
data_La3Pd3Au2
_symmetry_space_group_name_H-M 'C m c m'
_symmetry_Int_Tables_number 63
_symmetry_space_group_name_Hall '-C 2c 2'
_cell_length_a 4.384
_cell_length_b 11.604
_cell_length_c 15.182
_cell_angle_alpha 90.00
_cell_angle_beta 90.00
_cell_angle_gamma 90.00
loop_
_atom_site_label
_atom_site_type_symbol
_atom_site_fract_x
_atom_site_fract_y
_atom_site_fract_z
La1 La 0.000 0.086 0.102
La2 La 0.000 0.354 0.250
Pd1 Pd 0.000 0.381 0.750
Pd2 Pd 0.000 0.398 0.041
Au1 Au 0.000 0.215 0.608
```

Summary:
- DOS at the Fermi energy: 20.72 states/eV per cell
- ΔE_f: -0.8083 eV per atom
- Crystal system: orthorhombic

Q: Which formula does entry 10 have?
A: V4SiPt